[1]
First-principles (PBE) data for a geometry-optimized LiMg2Hg structure, as listed in Alexandria.

Cell and atoms, written as POSCAR:
```
LiMg2Hg
1.0
-0.9453 2.8411 3.3661
2.1079 -2.7262 2.8930
3.3996 1.9211 -0.6667
Mg Li Hg
2 1 1
Direct
0.0000 0.0000 0.0000
0.5000 0.5000 0.0000
0.0000 0.5000 0.5000
0.5000 0.0000 0.5000
```

Values from the calculation:
Total magnetization ... 0.0 Bohr magnetons per cell
Calculated density ... 5.30 g/cm3
E_form ... -0.219 eV per atom
E ... -1.570 eV per atom

---

[2]
First-principles (PBE) data for a geometry-optimized MnAs2W structure, as listed in Alexandria.

Cell and atoms, written as POSCAR:
```
MnAs2W
1.0
7.3589 -0.3066 -0.1813
6.7347 2.9817 -0.1813
6.7347 1.2783 2.6998
As W Mn
2 1 1
Direct
0.4984 0.4984 0.4984
0.0016 0.0016 0.0016
0.7500 0.7500 0.7500
0.2500 0.2500 0.2500
```

Values from the calculation:
Total magnetization ... 4.7 Bohr magnetons per cell
Calculated density ... 9.36 g/cm3
E_form ... 0.226 eV per atom
E ... -7.630 eV per atom
Relative energy among the computed polymorphs ... 214.5 meV per atom

---

[3]
First-principles (PBE) data for a geometry-optimized RbCdIn2Rh structure, as listed in Alexandria.

Cell and atoms, written as POSCAR:
```
RbCdIn2Rh
1.0
-0.5061 5.1467 -0.5987
-4.0489 -0.7682 -3.1810
-3.3609 0.1626 4.2386
In Rb Rh Cd
2 1 1 1
Direct
0.0000 0.5000 0.0000
0.5000 0.0000 0.0000
0.5000 0.5000 0.5000
0.0000 0.0000 0.0000
0.0000 0.0000 0.5000
```

Values from the calculation:
Total magnetization ... 0.0 Bohr magnetons per cell
Calculated density ... 6.01 g/cm3
E_form ... -0.221 eV per atom
E ... -3.164 eV per atom

---

[4]
First-principles (PBE) data for a geometry-optimized SrCu2Cl8 structure, as listed in Alexandria.

Cell and atoms, written as POSCAR:
```
SrCu2Cl8
1.0
6.8750 0.0000 0.0000
0.0000 6.8750 0.0000
-3.4375 -3.4375 6.1737
Sr Cl Cu
1 8 2
Direct
0.5000 0.5000 0.0000
0.7192 0.2073 0.7484
0.4589 0.9708 0.2516
0.2073 0.0292 0.7484
0.7927 0.2808 0.2516
0.2808 0.4589 0.2516
0.5411 0.7192 0.7484
0.0292 0.5411 0.7484
0.9708 0.7927 0.2516
0.7500 0.2500 0.5000
0.2500 0.7500 0.5000
```

Values from the calculation:
E_form (uncorrected) ... -0.87 eV/atom
Total magnetization ... 0.0 Bohr magnetons per cell
Calculated density ... 2.84 g/cm3
E ... -3.109 eV per atom

---

[5]
First-principles (PBE) data for a geometry-optimized Ac2LaPrDy structure, as listed in Alexandria.

Cell and atoms, written as POSCAR:
```
Ac2LaPrDy
1.0
-6.1574 3.1759 0.1859
-1.3410 -2.1031 -8.4926
-2.8373 -5.6080 1.8376
Ac Pr La Dy
4 2 2 2
Direct
0.2873 0.7076 0.2501
0.7127 0.2924 0.7499
0.7127 0.7076 0.7501
0.2873 0.2924 0.2499
0.1847 0.5000 0.7500
0.8153 0.5000 0.2500
0.4171 0.0000 0.7500
0.5829 0.0000 0.2500
0.0000 0.0000 0.0000
0.0000 0.0000 0.5000
```

Values from the calculation:
Total magnetization ... 0.0 Bohr magnetons per cell
Calculated density ... 7.41 g/cm3
E_form ... 0.229 eV per atom
E ... -4.276 eV per atom

---

[6]
First-principles (PBE) data for a geometry-optimized Y5Cd2Bi structure, as listed in Alexandria.

Cell and atoms, written as POSCAR:
```
Y5Cd2Bi
1.0
7.6024 0.0000 -3.5887
-1.6941 7.4113 -3.5887
-0.4929 -0.6183 8.8027
Cd Y Bi
4 10 2
Direct
0.1393 0.3607 0.0000
0.8607 0.6393 0.0000
0.6393 0.1393 0.0000
0.3607 0.8607 0.0000
0.1981 0.0050 0.7031
0.3019 0.8019 0.2969
0.4950 0.3019 0.2969
0.5050 0.6981 0.7031
0.9950 0.4950 0.2969
0.5000 0.5000 0.0000
0.0050 0.5050 0.7031
0.8019 0.9950 0.2969
0.0000 0.0000 0.0000
0.6981 0.1981 0.7031
0.7500 0.7500 0.5000
0.2500 0.2500 0.5000
```

Values from the calculation:
Total magnetization ... 0.0 Bohr magnetons per cell
Calculated density ... 6.31 g/cm3
E_form ... -0.401 eV per atom
E ... -5.155 eV per atom

---

[7]
First-principles (PBE) data for a geometry-optimized RbNbNi2 structure, as listed in Alexandria.

Cell and atoms, written as POSCAR:
```
RbNbNi2
1.0
7.3321 0.0000 0.0000
0.0000 7.3321 0.0000
3.6660 3.6660 3.5876
Ni Rb Nb
4 2 2
Direct
0.0438 0.6250 0.2500
0.7062 0.1250 0.2500
0.8750 0.9562 0.7500
0.3750 0.2938 0.7500
0.5000 0.5000 0.0000
0.2500 0.7500 0.5000
0.0000 0.0000 0.0000
0.7500 0.2500 0.5000
```

Values from the calculation:
Total magnetization ... 0.0 Bohr magnetons per cell
Calculated density ... 5.09 g/cm3
E_form ... 1.082 eV per atom
E ... -4.568 eV per atom
Relative energy among the computed polymorphs ... 0.0 meV per atom

---

[8]
First-principles (PBE) data for a geometry-optimized Nd12Ho3Al structure, as listed in Alexandria.

Cell and atoms, written as POSCAR:
```
Nd12Ho3Al
1.0
-2.2058 4.5555 -0.2300
-4.0029 -1.8108 2.5237
8.8673 5.1918 17.7897
Nd Ho Al
12 3 1
Direct
0.5000 0.0000 0.3727
0.0000 0.5000 0.6273
0.5000 0.5000 0.7549
0.5000 0.5000 0.2451
0.0000 0.5000 0.8823
0.5000 0.5000 0.5000
0.0000 0.5000 0.1177
0.0000 0.5000 0.3727
0.5000 0.5000 0.0000
0.5000 0.0000 0.6273
0.5000 0.0000 0.1177
0.5000 0.0000 0.8823
0.0000 0.0000 0.5000
0.0000 0.0000 0.2464
0.0000 0.0000 0.7536
0.0000 0.0000 0.0000
```

Values from the calculation:
Total magnetization ... 0.0 Bohr magnetons per cell
Calculated density ... 7.09 g/cm3
E_form ... -0.018 eV per atom
E ... -4.686 eV per atom